An optimized crystal structure of Li3B4C4. Source: the Alexandria database, functional PBE-GGA.

Cell and atoms, written as CIF:
```
data_Li3B4C4
_chemical_formula_sum 'Li6 B8 C8'
_space_group_name_H-M_alt 'P 1 2/m 1'
_space_group_IT_number 10
_space_group_name_Hall '-P 2y'
_cell_length_a 8.622
_cell_length_b 2.722
_cell_length_c 8.739
_cell_angle_alpha 90.00
_cell_angle_beta 114.34
_cell_angle_gamma 90.00
loop_
_atom_site_label
_atom_site_type_symbol
_atom_site_fract_x
_atom_site_fract_y
_atom_site_fract_z
Li1 Li 0.000 0.000 0.000
Li2 Li 0.220 0.000 0.730
Li3 Li 0.274 0.500 0.274
Li4 Li 0.500 0.500 0.000
B1 B 0.032 0.500 0.800
B2 B 0.202 0.000 0.458
B3 B 0.294 0.000 0.043
B4 B 0.446 0.500 0.710
C1 C 0.052 0.000 0.280
C2 C 0.206 0.500 0.962
C3 C 0.281 0.500 0.547
C4 C 0.468 0.000 0.203
```

Calculated values
E ... -143.809 eV per cell
Energy above the most stable polymorph in this dataset ... 8.6 meV per atom
Crystal system ... monoclinic